# 1
An optimized crystal structure of Cu2HRh. Source: Alexandria, functional GGA-PBE.

calculated volume: 187.90 Å³ per cell
M_tot: 0.00 μB per formula unit

Cell: 5.728 5.728 5.728 Å, 90.00 90.00 90.00°
Space group Fm-3m (No. 225)
Asymmetric unit:
Cu: 0.250 0.250 0.250 x8
H: 0.000 0.000 0.000 x4
Rh: 0.000 0.000 0.500 x4


# 2
An optimized crystal structure of Cu3H4Rh. Source: Alexandria, functional GGA-PBE.

calculated volume: 122.76 Å³ per cell
M_tot: 0.00 μB per formula unit

Cell: 3.842 3.842 8.315 Å, 90.00 90.00 90.00°
Space group I4/mmm (No. 139)
Asymmetric unit:
Cu: 0.000 0.000 0.000 x2
Cu: 0.000 0.500 0.250 x4
H: 0.000 0.000 0.287 x4
H: 0.000 0.500 0.000 x4
Rh: 0.000 0.000 0.500 x2


# 3
An optimized crystal structure of CuH3Rh. Source: Alexandria, functional GGA-PBE.

calculated volume: 151.03 Å³ per cell
M_tot: 0.00 μB per formula unit

Cell: 7.928 4.678 4.918 Å, 90.00 124.11 90.00°
Space group Cc (No. 9)
Asymmetric unit:
Cu: 0.000 0.241 0.000 x4
H: 0.000 0.381 0.503 x4
H: 0.196 0.056 0.002 x4
H: 0.303 0.442 0.497 x4
Rh: 0.250 0.250 0.751 x4


# 4
An optimized crystal structure of CuHRh2. Source: Alexandria, functional GGA-PBE.

calculated volume: 179.71 Å³ per cell
M_tot: 0.00 μB per formula unit

Cell: 5.973 5.973 5.037 Å, 90.00 90.00 90.00°
Space group I-42d (No. 122)
Asymmetric unit:
Cu: 0.000 0.000 0.000 x4
H: 0.000 0.000 0.500 x4
Rh: 0.156 0.250 0.625 x8


# 5
An optimized crystal structure of CuH6Rh3. Source: Alexandria, functional GGA-PBE.

calculated volume: 476.56 Å³ per cell
M_tot: 0.00 μB per formula unit

Cell: 7.7720 7.7720 9.1101 Å, 90.00 90.00 120.00°
Space group R-3 (No. 148, hexagonal axes)
Asymmetric unit:
Cu: 0.0000 0.0000 0.0000 x3
Cu: 0.0000 0.0000 0.5000 x3
H: 0.0253 0.2374 0.4040 x18
H: 0.0386 0.2067 0.8764 x18
Rh: 0.0449 0.2564 0.2043 x18


# 6
An optimized crystal structure of Cu3HRh. Source: Alexandria, functional GGA-PBE.

calculated volume: 52.77 Å³ per cell
M_tot: 0.00 μB per formula unit

Cell: 3.751 3.751 3.751 Å, 90.00 90.00 90.00°
Space group Pm-3m (No. 221)
Asymmetric unit:
Cu: 0.000 0.000 0.500 x3
H: 0.000 0.000 0.000 x1
Rh: 0.500 0.500 0.500 x1


# 7
An optimized crystal structure of Cu3H3Rh. Source: Alexandria, functional GGA-PBE.

calculated volume: 58.30 Å³ per cell
M_tot: 0.00 μB per formula unit

Cell: 3.877 3.877 3.877 Å, 90.00 90.00 90.00°
Space group Pm-3m (No. 221)
Asymmetric unit:
Cu: 0.000 0.000 0.500 x3
H: 0.000 0.500 0.500 x3
Rh: 0.500 0.500 0.500 x1


# 8
An optimized crystal structure of CuH2Rh. Source: Alexandria, functional GGA-PBE.

calculated volume: 101.70 Å³ per cell
M_tot: 0.00 μB per formula unit

Cell: 2.8405 2.8405 14.5541 Å, 90.00 90.00 120.00°
Space group R3m (No. 160, hexagonal axes)
Asymmetric unit:
Cu: 0.0000 0.0000 0.0000 x3
H: 0.0000 0.0000 0.2162 x3
H: 0.0000 0.0000 0.4256 x3
Rh: 0.0000 0.0000 0.8208 x3


# 9
An optimized crystal structure of CuH4Rh. Source: Alexandria, functional GGA-PBE.

calculated volume: 204.05 Å³ per cell
M_tot: 0.00 μB per formula unit

Cell: 4.729 10.168 4.681 Å, 90.00 114.95 90.00°
Space group C2/c (No. 15)
Asymmetric unit:
Cu: 0.000 0.197 0.250 x4
H: 0.185 0.194 0.669 x8
H: 0.226 0.060 0.160 x8
Rh: 0.000 0.068 0.750 x4


# 10
An optimized crystal structure of Cu2H5Rh2. Source: Alexandria, functional GGA-PBE.

calculated volume: 80.43 Å³ per cell
M_tot: 0.00 μB per formula unit

Cell: 2.771 4.467 6.641 Å, 89.18 78.10 90.00°
Space group P-1 (No. 2)
Asymmetric unit:
Cu: 0.112 0.232 0.275 x2
H: 0.000 0.500 0.500 x1
H: 0.152 0.861 0.193 x2
H: 0.337 0.542 0.829 x2
Rh: 0.424 0.265 0.654 x2


# 11
An optimized crystal structure of CuH6Rh4. Source: Alexandria, functional GGA-PBE.

calculated volume: 351.09 Å³ per cell
M_tot: 0.00 μB per formula unit

Cell: 2.837 9.410 13.150 Å, 90.00 90.00 90.00°
Space group Cmcm (No. 63)
Asymmetric unit:
Cu: 0.000 0.169 0.250 x4
H: 0.000 0.000 0.000 x4
H: 0.000 0.202 0.750 x4
H: 0.000 0.270 0.084 x8
H: 0.000 0.478 0.666 x8
Rh: 0.000 0.095 0.641 x8
Rh: 0.000 0.362 0.552 x8


# 12
An optimized crystal structure of CuHRu2Rh. Source: Alexandria, functional GGA-PBE.

calculated volume: 103.10 Å³ per cell
M_tot: 2.91 μB per formula unit

Cell: 4.677 4.677 4.714 Å, 90.00 90.00 90.00°
Space group P4/mmm (No. 123)
Asymmetric unit:
Cu: 0.000 0.000 0.000 x1
H: 0.500 0.500 0.000 x1
Ru: 0.000 0.500 0.500 x2
Rh: 0.000 0.000 0.500 x1


For the records above, the corresponding E_tot values read -0.1482, -0.1507, -0.1563, -0.1973, -0.1675, -0.1633, -0.1547, -0.1642, -0.1495, -0.1600, -0.1773, -0.1679 Ha/atom.